This record from OQMD describes TbErNi2Sn after structural relaxation. The functional is PBE.

Unit cell a=3.6435 b=3.9766 c=13.9007 alpha=90.00 beta=90.00 gamma=90.00
With the nearest neighbours (Å) after each atom.
Space group Amm2 (No. 38)
One atom of each set of equivalent atoms:
1 Tb 0.0000 0.0000 0.0000 [2 per cell]  6 Ni 2.83-2.95
2 Er 0.0000 0.0000 0.2735 [2 per cell]  6 Ni 2.82-2.92
3 Ni 0.5000 0.0000 0.4374 [2 per cell]  2 Ni 2.46
4 Ni 0.5000 0.0000 0.8333 [2 per cell]  2 Ni 2.46, 1 Sn 2.72
5 Sn 0.5000 0.0000 0.6373 [2 per cell]  2 Ni 2.72-2.78

Output
The calculated density is 9272 kg/m3. The final energy comes out at -0.403 Ry/atom.